1.
## Pm4CuAg (PBE)

Data for an optimized crystal structure of Pm4CuAg.

**DOS(E_F)**: 1.3782 states/eV/atom
**Excess energy over the best structure of this formula in the dataset**: 0 meV/atom
**Calculated total energy**: -26.6 eV per formula unit
**Space-group type**: No. 123

Cell lengths 3.6233, 3.6234, 12.8074 Å; angles 90.00, 90.00, 90.01 degrees
With the nearest neighbours (Å) after each atom.
Element x y z (fractional)
1 Cu 0.0000 0.0000 0.0000  8 Pm 3.09
2 Pm 0.5001 0.5001 0.1346  4 Cu 3.09, 1 Pm 3.45
3 Pm 0.9999 0.9999 0.6534  4 Ag 3.23
4 Ag 0.5000 0.5000 0.5000  8 Pm 3.23
5 Pm 0.4999 0.4999 0.8654  4 Cu 3.09, 1 Pm 3.45
6 Pm 0.0001 0.0001 0.3466  4 Ag 3.23



2.
## PmPr12Tl3 (PBE)

Data for an optimized crystal structure of PmPr12Tl3.

**DOS(E_F)**: 1.4407 states/eV/atom
**Calculated total energy**: -71.6 eV per formula unit
**Space-group type**: No. 123

Cell lengths 5.0460, 5.0460, 20.6665 Å; angles 90.00, 90.00, 90.00 degrees
With the nearest neighbours (Å) after each atom.
Element x y z (fractional)
1 Pr 0.5000 0.0000 0.3778  4 Tl 3.55-3.57, 8 Pr 3.56-3.57
2 Pr 0.0000 0.5000 0.6222  4 Tl 3.55-3.57, 8 Pr 3.56-3.57
3 Pr 0.0000 0.5000 0.3778  4 Tl 3.55-3.57, 8 Pr 3.56-3.57
4 Tl 0.0000 0.0000 0.5000  12 Pr 3.57
5 Pr 0.5000 0.0000 0.8680  8 Pr 3.57-3.72, 2 Tl 3.61, 2 Pm 3.72
6 Pr 0.0000 0.5000 0.8680  8 Pr 3.57-3.72, 2 Tl 3.61, 2 Pm 3.72
7 Tl 0.0000 0.0000 0.2567  12 Pr 3.55-3.61
8 Pr 0.5000 0.5000 0.0000  4 Pm 3.57, 8 Pr 3.72
9 Tl 0.0000 0.0000 0.7433  12 Pr 3.55-3.61
10 Pr 0.0000 0.5000 0.1320  8 Pr 3.57-3.72, 2 Tl 3.61, 2 Pm 3.72
11 Pr 0.5000 0.5000 0.5000  4 Tl 3.57, 8 Pr 3.57
12 Pr 0.5000 0.0000 0.1320  8 Pr 3.57-3.72, 2 Tl 3.61, 2 Pm 3.72
13 Pr 0.5000 0.5000 0.7441  8 Pr 3.56-3.60, 4 Tl 3.57
14 Pr 0.5000 0.5000 0.2559  8 Pr 3.56-3.60, 4 Tl 3.57
15 Pm 0.0000 0.0000 0.0000  12 Pr 3.57-3.72
16 Pr 0.5000 0.0000 0.6222  4 Tl 3.55-3.57, 8 Pr 3.56-3.57



3.
## Si2AgTe (PBE)

Data for an optimized crystal structure of Si2AgTe.

**DOS(E_F)**: 0.4481 states/eV/atom
**Raw formation energy**: 373 meV/atom
**Excess energy over the best structure of this formula in the dataset**: 119 meV/atom
**Calculated total energy**: -15.3 eV per formula unit
**Space-group type**: No. 12

Cell lengths 8.5987, 8.5987, 4.1671 Å; angles 42.27, 42.27, 26.34 degrees
With the nearest neighbours (Å) after each atom.
Element x y z (fractional)
1 Te 0.7500 0.7500 0.7500  2 Si 2.83, 4 Ag 2.86
2 Si 0.4924 0.4924 0.4383  2 Si 2.40, 1 Ag 2.65
3 Si 0.0076 0.0076 0.0617  2 Si 2.40, 1 Ag 2.65
4 Ag 0.2500 0.2500 0.2500  2 Si 2.65, 4 Te 2.86



4.
## ScNiAg2 (PBE)

Data for an optimized crystal structure of ScNiAg2.

**DOS(E_F)**: 0.9739 states/eV/atom
**Calculated total energy**: -17.0 eV per formula unit
**Space-group type**: No. 166

Cell lengths 9.3368, 9.3368, 9.3368 Å; angles 18.16, 18.16, 18.16 degrees
With the nearest neighbours (Å) after each atom.
Element x y z (fractional)
1 Ag 0.5066 0.5066 0.5066  3 Ni 2.71, 6 Ag 2.95, 3 Sc 3.00
2 Ag 0.9934 0.9934 0.9934  3 Ni 2.71, 6 Ag 2.95, 3 Sc 3.00
3 Ni 0.2500 0.2500 0.2500  6 Ag 2.71, 6 Ni 2.95
4 Sc 0.7500 0.7500 0.7500  6 Sc 2.95, 6 Ag 3.00



5.
## AsC3Se (PBE)

Data for an optimized crystal structure of AsC3Se.

**DOS(E_F)**: 0.5783 states/eV/atom
**Raw formation energy**: 2717 meV/atom
**Excess energy over the best structure of this formula in the dataset**: 0 meV/atom
**Calculated total energy**: -22.2 eV per formula unit
**Space-group type**: No. 221

Cell lengths 3.9565, 3.9565, 3.9565 Å; angles 90.00, 90.00, 90.00 degrees
With the nearest neighbours (Å) after each atom.
Element x y z (fractional)
1 C 0.0000 0.0000 0.5000  2 As 1.98
2 As 0.0000 0.0000 0.0000  6 C 1.98
3 C 0.0000 0.5000 0.0000  2 As 1.98
4 Se 0.5000 0.5000 0.5000  12 C 2.80
5 C 0.5000 0.0000 0.0000  2 As 1.98



6.
## LiB2N (PBE)

Data for an optimized crystal structure of LiB2N.

**DOS(E_F)**: 0.0163 states/eV/atom
**Raw formation energy**: 539 meV/atom
**Calculated total energy**: -21.4 eV per formula unit
**Space-group type**: No. 122

Cell lengths 4.6198, 4.6198, 4.5747 Å; angles 59.67, 59.67, 90.00 degrees
With the nearest neighbours (Å) after each atom.
Element x y z (fractional)
1 B 0.0226 0.6250 0.2500  2 N 1.56
2 N 0.0000 0.0000 0.0000  4 B 1.56
3 B 0.7274 0.1250 0.2500  2 N 1.56
4 Li 0.5000 0.5000 0.0000  4 B 2.15
5 Li 0.2500 0.7500 0.5000  4 B 2.15
6 B 0.8750 0.9774 0.7500  2 N 1.56
7 N 0.7500 0.2500 0.5000  4 B 1.56
8 B 0.3750 0.2726 0.7500  2 N 1.56



7.
## LiYBiIr (PBE)

Data for an optimized crystal structure of LiYBiIr.

**DOS(E_F)**: 0.2960 states/eV/atom
**Calculated total energy**: -23.3 eV per formula unit
**Space-group type**: No. 216

Cell lengths 4.8148, 4.8148, 4.8148 Å; angles 60.00, 60.00, 60.00 degrees
With the nearest neighbours (Å) after each atom.
Element x y z (fractional)
1 Ir 0.0000 0.0000 0.0000  4 Bi 2.95, 4 Y 2.95
2 Bi 0.7500 0.7500 0.7500  4 Li 2.95, 4 Ir 2.95
3 Y 0.2500 0.2500 0.2500  4 Li 2.95, 4 Ir 2.95
4 Li 0.5000 0.5000 0.5000  4 Y 2.95, 4 Bi 2.95



8.
## Ge2SbO6 (PBE)

Data for an optimized crystal structure of Ge2SbO6.

**DOS(E_F)**: 0.1160 states/eV/atom
**Raw formation energy**: -1436 meV/atom
**Calculated total energy**: -56.0 eV per formula unit
**Space-group type**: No. 15

Cell lengths 5.7577, 6.9773, 6.9773 Å; angles 84.99, 75.36, 75.36 degrees
With the nearest neighbours (Å) after each atom.
Element x y z (fractional)
1 Sb 0.2500 0.1132 0.8868  4 O 2.03-2.16
2 O 0.9696 0.3871 0.3516  2 Ge 1.76-1.77
3 O 0.6326 0.9489 0.8209  1 Ge 1.83
4 O 0.5304 0.6484 0.6129  2 Ge 1.76-1.77
5 Ge 0.2439 0.2214 0.3850  4 O 1.76-1.83
6 Sb 0.7500 0.8868 0.1132  4 O 2.03-2.16
7 O 0.0304 0.6129 0.6484  2 Ge 1.76-1.77
8 Ge 0.2561 0.6150 0.7786  4 O 1.76-1.83
9 O 0.3074 0.3859 0.9068  1 Ge 1.76
10 O 0.8074 0.9068 0.3859  1 Ge 1.76
11 Ge 0.7561 0.7786 0.6150  4 O 1.76-1.83
12 O 0.4696 0.3516 0.3871  2 Ge 1.76-1.77
13 O 0.3674 0.0511 0.1791  1 Ge 1.83
14 O 0.6926 0.6141 0.0932  1 Ge 1.76
15 O 0.8674 0.1791 0.0511  1 Ge 1.83
16 Ge 0.7439 0.3850 0.2214  4 O 1.76-1.83
17 O 0.1926 0.0932 0.6141  1 Ge 1.76
18 O 0.1326 0.8209 0.9489  1 Ge 1.83



9.
## Nd2HgPb4 (PBE)

Data for an optimized crystal structure of Nd2HgPb4.

**DOS(E_F)**: 0.6159 states/eV/atom
**Excess energy over the best structure of this formula in the dataset**: 120 meV/atom
**Calculated total energy**: -26.3 eV per formula unit
**Space-group type**: No. 12

Cell lengths 4.8748, 9.4872, 8.4021 Å; angles 139.30, 106.86, 90.00 degrees
With the nearest neighbours (Å) after each atom.
Element x y z (fractional)
1 Hg 0.0000 0.0000 0.0000  6 Pb 3.22-3.23, 2 Nd 3.35
2 Nd 0.6877 0.7230 0.3754  7 Pb 3.30-3.50, 1 Hg 3.35
3 Pb 0.0334 0.7074 0.0668  2 Pb 3.15-3.33, 1 Hg 3.22, 5 Nd 3.30-3.50
4 Nd 0.3123 0.2770 0.6246  7 Pb 3.30-3.50, 1 Hg 3.35
5 Pb 0.2967 0.6532 0.5934  3 Pb 3.12-3.33, 2 Hg 3.23, 2 Nd 3.36
6 Pb 0.7033 0.3468 0.4066  3 Pb 3.12-3.33, 2 Hg 3.23, 2 Nd 3.36
7 Pb 0.9666 0.2926 0.9332  2 Pb 3.15-3.33, 1 Hg 3.22, 5 Nd 3.30-3.50



10.
## Sm2HoEr5Th (PBE)

Data for an optimized crystal structure of Sm2HoEr5Th.

**DOS(E_F)**: 1.1681 states/eV/atom
**Calculated total energy**: -41.5 eV per formula unit
**Space-group type**: No. 140

Cell lengths 8.6921, 8.6921, 9.7541 Å; angles 116.46, 116.46, 90.00 degrees
With the nearest neighbours (Å) after each atom.
Element x y z (fractional)
1 Er 0.5736 0.6499 0.7235  1 Sm 2.98, 1 Ho 3.11
2 Sm 0.1152 0.3848 0.0000  1 Sm 2.83, 2 Er 2.98
3 Th 0.7500 0.7500 0.5000  10 Er 3.54-3.79
4 Ho 0.2500 0.7500 0.5000  4 Er 3.11
5 Sm 0.6152 0.1152 0.0000  1 Sm 2.83, 2 Er 2.98
6 Sm 0.8848 0.6152 0.0000  1 Sm 2.83, 2 Er 2.98
7 Er 0.0000 0.0000 0.0000  4 Sm 3.49, 8 Er 3.75, 2 Th 3.79
8 Sm 0.3848 0.8848 0.0000  1 Sm 2.83, 2 Er 2.98
9 Er 0.3501 0.8501 0.2765  1 Sm 2.98, 1 Ho 3.11
10 Er 0.0736 0.5736 0.7235  1 Sm 2.98, 1 Ho 3.11
11 Er 0.8501 0.9264 0.2765  1 Sm 2.98, 1 Ho 3.11
12 Er 0.6499 0.1499 0.7235  1 Sm 2.98, 1 Ho 3.11
13 Er 0.9264 0.4264 0.2765  1 Sm 2.98, 1 Ho 3.11
14 Th 0.2500 0.2500 0.5000  10 Er 3.54-3.79
15 Er 0.4264 0.3501 0.2765  1 Sm 2.98, 1 Ho 3.11
16 Er 0.5000 0.5000 0.0000  4 Sm 3.49, 8 Er 3.75, 2 Th 3.79
17 Er 0.1499 0.0736 0.7235  1 Sm 2.98, 1 Ho 3.11
18 Ho 0.7500 0.2500 0.5000  4 Er 3.11



11.
## ZrSiP3 (PBE)

Data for an optimized crystal structure of ZrSiP3.

**DOS(E_F)**: 0.7760 states/eV/atom
**Raw formation energy**: 745 meV/atom
**Excess energy over the best structure of this formula in the dataset**: 416 meV/atom
**Calculated total energy**: -26.5 eV per formula unit
**Space-group type**: No. 221

Cell lengths 4.9973, 4.9973, 4.9973 Å; angles 90.00, 90.00, 90.00 degrees
With the nearest neighbours (Å) after each atom.
Element x y z (fractional)
1 Zr 0.0000 0.0000 0.0000  6 P 2.50
2 P 0.0000 0.0000 0.5000  2 Zr 2.50
3 Si 0.5000 0.5000 0.5000  12 P 3.53
4 P 0.0000 0.5000 0.0000  2 Zr 2.50
5 P 0.5000 0.0000 0.0000  2 Zr 2.50



12.
## Rb3LaBi2Se6 (PBE)

Data for an optimized crystal structure of Rb3LaBi2Se6.

**DOS(E_F)**: 0.0000 states/eV/atom
**Raw formation energy**: -1131 meV/atom
**Calculated total energy**: -50.1 eV per formula unit
**Space-group type**: No. 12

Cell lengths 7.6100, 7.6100, 8.4190 Å; angles 98.67, 98.67, 120.00 degrees
With the nearest neighbours (Å) after each atom.
Element x y z (fractional)
1 Rb 0.1672 0.8328 0.5000  6 Se 3.46-3.50
2 Se 0.5947 0.9325 0.7977  2 Bi 3.00, 1 La 3.04
3 Rb 0.5000 0.5000 0.5000  6 Se 3.46-3.50
4 Se 0.2703 0.2703 0.7976  2 Bi 3.00, 1 La 3.04
5 Se 0.9325 0.5947 0.7977  2 Bi 3.00, 1 La 3.04
6 Se 0.7297 0.7297 0.2024  2 Bi 3.00, 1 La 3.04
7 Bi 0.3334 0.6666 0.0000  6 Se 3.00
8 Se 0.4053 0.0675 0.2023  2 Bi 3.00, 1 La 3.04
9 Bi 0.6666 0.3334 0.0000  6 Se 3.00
10 Se 0.0675 0.4053 0.2023  2 Bi 3.00, 1 La 3.04
11 Rb 0.8328 0.1672 0.5000  6 Se 3.46-3.50
12 La 0.0000 0.0000 0.0000  6 Se 3.04